{"formula": "CrCdO4", "functional": "SCAN", "state": "single point on PBEsol structure", "dos_at_fermi_per_ev_atom": 0.000, "formation_energy_uncorrected_ev_per_atom": -1.710, "final_energy_ev_per_atom": -14.00, "crystal_system": "monoclinic", "relative_energy_mev_per_atom": 16, "lattice_angstrom": [[5.209, -4.847, 0.000], [5.209, 4.847, 0.000], [-1.468, 0.000, 6.924]], "species": ["Cr", "Cr", "Cr", "Cr", "Cd", "Cd", "Cd", "Cd", "O", "O", "O", "O", "O", "O", "O", "O", "O", "O", "O", "O", "O", "O", "O", "O"], "frac_coords": [[0.226, 0.226, 0.581], [0.246, 0.754, 0.000], [0.754, 0.246, 0.000], [0.774, 0.774, 0.419], [0.288, 0.288, 0.126], [0.314, 0.686, 0.500], [0.686, 0.314, 0.500], [0.712, 0.712, 0.874], [0.002, 0.280, 0.518], [0.028, 0.724, 0.899], [0.276, 0.972, 0.101], [0.280, 0.002, 0.518], [0.284, 0.284, 0.812], [0.298, 0.613, 0.173], [0.355, 0.355, 0.461], [0.387, 0.702, 0.827], [0.613, 0.298, 0.173], [0.645, 0.645, 0.539], [0.702, 0.387, 0.827], [0.716, 0.716, 0.188], [0.720, 0.998, 0.482], [0.724, 0.028, 0.899], [0.972, 0.276, 0.101], [0.998, 0.720, 0.482]]}